# 1
A plane-wave DFT calculation with GGA-PBE was carried out for AlPb3 after structural relaxation.

The calculation puts the energy above the most stable polymorph in this dataset at 41.9 meV per atom. Its total energy is -0.130 hartree per atom. For the formation energy, the calculation gives 0.68 eV per formula unit. The calculation puts the density at 9.3 g/cm³.

The structure belongs to space group C2/m (No. 12); the cell edges are 10.9095, 3.4669 and 6.2295 Å and the angles 90.00°, 101.12° and 90.00°. The asymmetric unit holds Al at (0.0000, 0.0000, 0.0000), Pb at (0.0000, 0.5000, 0.5000) and Pb at (0.2412, 0.5000, 0.2291).



# 2
A plane-wave DFT calculation with GGA-PBE was carried out for Al2Pb after structural relaxation.

Its total energy is -0.119 hartree per atom. For the formation energy, the calculation gives 1.48 eV per formula unit. The calculation puts the density at 5.3 g/cm³.

The structure belongs to space group Fm-3m (No. 225); the cell edges are 6.9001, 6.9001 and 6.9001 Å and the angles 90.00°, 90.00° and 90.00°. The asymmetric unit holds Al at (0.2500, 0.2500, 0.2500) and Pb at (0.0000, 0.0000, 0.0000).



# 3
A plane-wave DFT calculation with GGA-PBE was carried out for Al2Pb after structural relaxation.

Its total energy is -0.120 hartree per atom. For the formation energy, the calculation gives 1.36 eV per formula unit. The calculation puts the density at 5.5 g/cm³.

The structure belongs to space group Pa-3 (No. 205); the cell edges are 6.8076, 6.8076 and 6.8076 Å and the angles 90.00°, 90.00° and 90.00°. The asymmetric unit holds Al at (0.1099, 0.1099, 0.1099) and Pb at (0.0000, 0.0000, 0.5000).



# 4
A plane-wave DFT calculation with GGA-PBE was carried out for Al2Pb after structural relaxation.

Its total energy is -0.128 hartree per atom. For the formation energy, the calculation gives 0.75 eV per formula unit. The calculation puts the density at 6.1 g/cm³.

The structure belongs to space group P6/mmm (No. 191); the cell edges are 4.6023, 4.6023 and 3.8791 Å and the angles 90.00°, 90.00° and 120.00°. The asymmetric unit holds Al at (0.3333, 0.6667, 0.0000) and Pb at (0.0000, 0.0000, 0.5000).



# 5
A plane-wave DFT calculation with GGA-PBE was carried out for AlPb after structural relaxation.

Its total energy is -0.122 hartree per atom. For the formation energy, the calculation gives 0.83 eV per formula unit. The calculation puts the density at 7.0 g/cm³.

The structure belongs to space group P6_3/mmc (No. 194); the cell edges are 5.5089, 5.5089 and 8.4422 Å and the angles 90.00°, 90.00° and 120.00°. The asymmetric unit holds Al at (0.3333, 0.6667, 0.0905), Pb at (0.0000, 0.0000, 0.2500) and Pb at (0.3333, 0.6667, 0.7500).



# 6
A plane-wave DFT calculation with GGA-PBE was carried out for AlPb after structural relaxation.

Its total energy is -0.130 hartree per atom. For the formation energy, the calculation gives 0.39 eV per formula unit. The calculation puts the density at 7.7 g/cm³.

The structure belongs to space group P-3m1 (No. 164); the cell edges are 3.4152, 3.4152 and 10.0228 Å and the angles 90.00°, 90.00° and 120.00°. The asymmetric unit holds Al at (0.3333, 0.6667, 0.0964) and Pb at (0.3333, 0.6667, 0.6552).



# 7
A plane-wave DFT calculation with GGA-PBE was carried out for AlPb2 after structural relaxation.

Its total energy is -0.128 hartree per atom. For the formation energy, the calculation gives 0.72 eV per formula unit. The calculation puts the density at 8.9 g/cm³.

The structure belongs to space group P6_3/mmc (No. 194); the cell edges are 5.3469, 5.3469 and 6.6771 Å and the angles 90.00°, 90.00° and 120.00°. The asymmetric unit holds Al at (0.3333, 0.6667, 0.2500), Pb at (0.0000, 0.0000, 0.0000) and Pb at (0.3333, 0.6667, 0.7500).



# 8
A plane-wave DFT calculation with GGA-PBE was carried out for AlPb after structural relaxation.

Its total energy is -0.126 hartree per atom. For the formation energy, the calculation gives 0.57 eV per formula unit. The calculation puts the density at 7.6 g/cm³.

The structure belongs to space group R-3m (No. 166, hexagonal axes); the cell edges are 3.3394, 3.3394 and 15.8756 Å and the angles 90.00°, 90.00° and 120.00°. The asymmetric unit holds Al at (0.0000, 0.0000, 0.0000) and Pb at (0.0000, 0.0000, 0.5000).



# 9
A plane-wave DFT calculation with GGA-PBE was carried out for AlPb2 after structural relaxation.

Its total energy is -0.121 hartree per atom. For the formation energy, the calculation gives 1.30 eV per formula unit. The calculation puts the density at 7.8 g/cm³.

The structure belongs to space group P6_3/mmc (No. 194); the cell edges are 7.0241, 7.0241 and 8.7568 Å and the angles 90.00°, 90.00° and 120.00°. The asymmetric unit holds Al at (0.3333, 0.6667, 0.0918), Pb at (0.0000, 0.0000, 0.0000) and Pb at (0.1834, 0.3668, 0.7500).



# 10
A plane-wave DFT calculation with GGA-PBE was carried out for Al7Pb6 after structural relaxation.

Its total energy is -0.131 hartree per atom. For the formation energy, the calculation gives 2.28 eV per formula unit. The calculation puts the density at 7.6 g/cm³.

The structure belongs to space group R-3m (No. 166, hexagonal axes); the cell edges are 5.7394, 5.7394 and 33.0418 Å and the angles 90.00°, 90.00° and 120.00°. The asymmetric unit holds Al at (0.0000, 0.0000, 0.0000), Al at (0.0063, 0.5031, 0.5926), Pb at (0.0000, 0.0000, 0.1729), Pb at (0.0000, 0.0000, 0.3404) and Pb at (0.0000, 0.0000, 0.4478).



# 11
A plane-wave DFT calculation with GGA-PBE was carried out for AlPb after structural relaxation.

Its total energy is -0.128 hartree per atom. For the formation energy, the calculation gives 0.46 eV per formula unit. The calculation puts the density at 7.8 g/cm³.

The structure belongs to space group Imma (No. 74); the cell edges are 3.4031, 5.3990 and 10.9122 Å and the angles 90.00°, 90.00° and 90.00°. The asymmetric unit holds Al at (0.0000, 0.2500, 0.1498) and Pb at (0.0000, 0.2500, 0.6016).



# 12
A plane-wave DFT calculation with GGA-PBE was carried out for Al3Pb2 after structural relaxation.

The calculation puts the energy above the most stable polymorph in this dataset at 39.9 meV per atom. Its total energy is -0.128 hartree per atom. For the formation energy, the calculation gives 1.20 eV per formula unit. The calculation puts the density at 6.7 g/cm³.

The structure belongs to space group R-3m (No. 166, hexagonal axes); the cell edges are 4.6790, 4.6790 and 19.5556 Å and the angles 90.00°, 90.00° and 120.00°. The asymmetric unit holds Al at (0.0000, 0.0000, 0.0000), Al at (0.0000, 0.0000, 0.1498) and Pb at (0.0000, 0.0000, 0.3991).